The following is a DFT calculation (PBE) of BaSiAg2O4 after structural relaxation.

The raw formation energy is -14.4 eV per formula unit. The calculation puts the total magnetization at 0.00 μB/f.u.

Cell and atoms, written as CIF:
```
data_BaSiAg2O4
_chemical_formula_sum 'Ba1 Si1 Ag2 O4'
_cell_length_a 5.4679
_cell_length_b 5.4679
_cell_length_c 5.4679
_cell_angle_alpha 115.17
_cell_angle_beta 113.76
_cell_angle_gamma 99.90
_space_group_name_H-M_alt 'P 1'
_space_group_IT_number 1
loop_
_space_group_symop_operation_xyz
'x,y,z'
loop_
_atom_site_label
_atom_site_type_symbol
_atom_site_fract_x
_atom_site_fract_y
_atom_site_fract_z
_atom_site_occupancy
Ba1 Ba 0.0000 0.0000 0.0000 1
Si1 Si 0.5000 0.5000 0.0000 1
Ag1 Ag 0.2822 0.7822 0.5000 1
Ag2 Ag 0.7178 0.2178 0.5000 1
O1 O 0.2008 0.5262 0.9996 1
O2 O 0.4734 0.4738 0.6746 1
O3 O 0.5266 0.2012 0.0004 1
O4 O 0.7992 0.7988 0.3254 1
```